[1]
Pm9Y4In11 after structural relaxation. Source: Alexandria via LeMat-Bulk, functional GGA-PBE.

Cell lengths 3.525, 14.015, 14.015 Å; angles 100.09, 90.00, 90.00 degrees
Fractional coordinates of all 24 atoms:
Pm  0.500  0.500  0.500
Y  0.500  0.737  0.568
Pm  0.500  0.209  0.034
Pm  0.500  0.143  0.626
In  0.000  0.238  0.238
Y  0.500  0.263  0.432
Y  0.500  0.568  0.737
Pm  0.500  0.791  0.966
Y  0.500  0.432  0.263
In  0.000  0.067  0.421
Pm  0.500  0.626  0.143
In  0.000  0.168  0.832
Pm  0.500  0.034  0.209
In  0.000  0.762  0.762
In  0.000  0.421  0.067
In  0.000  0.933  0.579
In  0.000  0.636  0.364
In  0.000  0.579  0.933
In  0.000  0.000  0.000
Pm  0.500  0.966  0.791
Pm  0.500  0.374  0.857
Pm  0.500  0.857  0.374
In  0.000  0.832  0.168
In  0.000  0.364  0.636

Properties
- total energy (eV/atom) = -4.531
- D(E_F) (states/eV/f.u.) = 20.56



[2]
PmY5In3 after structural relaxation. Source: Alexandria via LeMat-Bulk, functional GGA-PBE.

Cell lengths 6.760, 9.406, 9.406 Å; angles 120.00, 90.00, 90.00 degrees
Fractional coordinates of all 18 atoms:
Y  0.500  0.333  0.667
Y  0.000  0.333  0.667
In  0.750  0.340  0.340
In  0.750  0.000  0.660
Y  0.500  0.667  0.333
Pm  0.500  0.000  0.000
Y  0.000  0.667  0.333
Y  0.750  0.330  0.000
In  0.750  0.660  0.000
Y  0.750  0.670  0.670
Y  0.250  0.330  0.330
Y  0.750  0.000  0.330
Pm  0.000  0.000  0.000
Y  0.250  0.670  0.000
In  0.250  0.000  0.340
In  0.250  0.340  0.000
Y  0.250  0.000  0.670
In  0.250  0.660  0.660

Properties
- total energy (eV/atom) = -5.417
- D(E_F) (states/eV/f.u.) = 10.68



[3]
Pm2YIn2 after structural relaxation. Source: Alexandria via LeMat-Bulk, functional GGA-PBE.

Cell lengths 5.560, 6.573, 8.534 Å; angles 90.00, 109.01, 90.00 degrees
Fractional coordinates of all 10 atoms:
Pm  0.801  0.343  0.602
Pm  0.971  0.789  0.942
Y  0.597  0.581  0.194
Pm  0.029  0.289  0.058
In  0.782  0.856  0.564
In  0.398  0.566  0.797
Y  0.403  0.081  0.806
In  0.602  0.066  0.203
In  0.218  0.356  0.436
Pm  0.199  0.843  0.398

Properties
- total energy (eV/atom) = -4.636
- D(E_F) (states/eV/f.u.) = 5.49



[4]
Pm2Y4In after structural relaxation. Source: Alexandria via LeMat-Bulk, functional GGA-PBE.

Cell lengths 5.684, 6.746, 11.813 Å; angles 90.00, 104.49, 90.00 degrees
Fractional coordinates of all 14 atoms:
Pm  0.753  0.750  0.581
Y  0.168  0.750  0.437
Y  0.044  0.250  0.124
In  0.104  0.750  0.167
Pm  0.466  0.250  0.974
Pm  0.534  0.750  0.026
In  0.896  0.250  0.833
Pm  0.247  0.250  0.419
Y  0.956  0.750  0.876
Y  0.632  0.494  0.285
Y  0.832  0.250  0.563
Y  0.632  0.006  0.285
Y  0.368  0.506  0.715
Y  0.368  0.994  0.715

Properties
- total energy (eV/atom) = -5.491
- D(E_F) (states/eV/f.u.) = 9.40



[5]
Pm3Y2In2 after structural relaxation. Source: Alexandria via LeMat-Bulk, functional GGA-PBE.

Cell lengths 4.937, 3.515, 12.371 Å; angles 90.00, 78.49, 90.00 degrees
Fractional coordinates of all 7 atoms:
Pm  0.000  0.000  0.000
Y  0.712  0.500  0.577
Y  0.288  0.500  0.423
Pm  0.140  0.000  0.721
In  0.571  0.500  0.858
In  0.429  0.500  0.142
Pm  0.860  0.000  0.279

Properties
- total energy (eV/atom) = -4.827
- D(E_F) (states/eV/f.u.) = 8.50



[6]
PmY6In5 after structural relaxation. Source: Alexandria via LeMat-Bulk, functional GGA-PBE.

Cell lengths 5.024, 8.740, 9.118 Å; angles 118.64, 105.99, 90.00 degrees
Fractional coordinates of all 12 atoms:
In  0.652  0.152  0.304
In  0.678  0.678  0.356
Y  0.170  0.906  0.340
In  0.348  0.848  0.696
Y  0.170  0.435  0.340
Y  0.830  0.094  0.660
Y  0.500  0.274  0.000
Y  0.500  0.726  0.000
In  0.000  0.500  0.000
In  0.322  0.322  0.644
Pm  0.000  0.000  0.000
Y  0.830  0.565  0.660

Properties
- total energy (eV/atom) = -5.177
- D(E_F) (states/eV/f.u.) = 11.80



[7]
Pm5Y6In after structural relaxation. Source: Alexandria via LeMat-Bulk, functional GGA-PBE.

Cell lengths 5.023, 9.446, 9.446 Å; angles 106.72, 105.41, 105.41 degrees
Fractional coordinates of all 12 atoms:
Y  0.740  0.240  0.240
Y  0.756  0.591  0.920
Pm  0.500  0.500  0.500
Y  0.244  0.409  0.080
Pm  0.000  0.338  0.662
Pm  0.500  0.831  0.169
Pm  0.500  0.169  0.831
Y  0.756  0.920  0.591
Y  0.260  0.760  0.760
Pm  0.000  0.662  0.338
In  0.000  0.000  0.000
Y  0.244  0.080  0.409

Properties
- total energy (eV/atom) = -5.494
- D(E_F) (states/eV/f.u.) = 17.03



[8]
PmYIn3 after structural relaxation. Source: Alexandria via LeMat-Bulk, functional GGA-PBE.

Cell lengths 5.871, 5.871, 11.748 Å; angles 104.47, 104.47, 90.00 degrees
Fractional coordinates of all 10 atoms:
In  0.746  0.746  0.491
In  0.624  0.878  0.757
Y  0.000  0.000  0.000
Pm  0.835  0.335  0.669
Y  0.250  0.750  0.500
In  0.254  0.254  0.509
In  0.133  0.878  0.757
In  0.122  0.867  0.243
Pm  0.665  0.165  0.331
In  0.122  0.376  0.243

Properties
- total energy (eV/atom) = -3.830
- D(E_F) (states/eV/f.u.) = 4.35



[9]
Pm3Y6In after structural relaxation. Source: Alexandria via LeMat-Bulk, functional GGA-PBE.

Cell lengths 5.625, 9.768, 12.888 Å; angles 114.73, 90.00, 90.00 degrees
Fractional coordinates of all 20 atoms:
Y  0.750  0.786  0.861
Y  0.250  0.544  0.697
Pm  0.750  0.850  0.374
In  0.750  0.618  0.587
Pm  0.250  0.622  0.222
Y  0.250  0.391  0.928
Y  0.750  0.255  0.488
Y  0.250  0.027  0.330
Y  0.250  0.976  0.827
In  0.250  0.382  0.413
Y  0.250  0.745  0.512
Y  0.750  0.973  0.670
Pm  0.250  0.150  0.626
Pm  0.250  0.796  0.025
Pm  0.750  0.204  0.975
Y  0.750  0.456  0.303
Y  0.750  0.024  0.173
Pm  0.750  0.378  0.778
Y  0.750  0.609  0.072
Y  0.250  0.214  0.139

Properties
- total energy (eV/atom) = -5.651
- D(E_F) (states/eV/f.u.) = 15.49



[10]
PmY2In after structural relaxation. Source: Alexandria via LeMat-Bulk, functional GGA-PBE.

Cell lengths 5.502, 5.502, 5.502 Å; angles 60.00, 60.00, 60.00 degrees
Last column: magnetic moment on the atom in μB.
Fractional coordinates of all 4 atoms:
Pm  0.000  0.000  0.000  0.41
Y  0.750  0.750  0.750  0.24
Y  0.250  0.250  0.250  0.24
In  0.500  0.500  0.500  0.00

Properties
- total energy (eV/atom) = -5.227
- D(E_F) (states/eV/f.u.) = 5.92



[11]
Pm4Y3In4 after structural relaxation. Source: Alexandria via LeMat-Bulk, functional GGA-PBE.

Cell lengths 3.643, 9.460, 10.921 Å; angles 115.66, 99.60, 90.00 degrees
Fractional coordinates of all 11 atoms:
Pm  0.338  0.514  0.675
In  0.275  0.775  0.550
Y  0.094  0.094  0.188
In  0.500  0.220  0.000
Pm  0.662  0.839  0.325
Y  0.000  0.500  0.000
Pm  0.662  0.486  0.325
Y  0.906  0.906  0.812
In  0.725  0.225  0.450
Pm  0.338  0.161  0.675
In  0.500  0.780  0.000

Properties
- total energy (eV/atom) = -4.815
- D(E_F) (states/eV/f.u.) = 10.18



[12]
Pm2YIn5 after structural relaxation. Source: Alexandria via LeMat-Bulk, functional GGA-PBE.

Cell lengths 6.594, 6.594, 6.594 Å; angles 100.27, 114.26, 114.26 degrees
Fractional coordinates of all 8 atoms:
Pm  0.500  0.736  0.236
Pm  0.500  0.236  0.736
In  0.572  0.261  0.261
In  0.000  0.689  0.261
Y  0.000  0.144  0.144
In  0.000  0.261  0.689
In  0.000  0.761  0.761
In  0.428  0.689  0.689

Properties
- total energy (eV/atom) = -4.168
- D(E_F) (states/eV/f.u.) = 6.07



[13]
Pm3YIn2 after structural relaxation. Source: Alexandria via LeMat-Bulk, functional GGA-PBE.

Cell lengths 5.026, 8.551, 10.238 Å; angles 117.41, 90.00, 107.09 degrees
Fractional coordinates of all 12 atoms:
Y  0.119  0.237  0.073
In  0.752  0.505  0.090
Pm  0.041  0.082  0.361
In  0.513  0.025  0.865
In  0.248  0.495  0.910
Y  0.881  0.763  0.927
In  0.487  0.975  0.135
Pm  0.367  0.734  0.325
Pm  0.633  0.266  0.675
Pm  0.710  0.421  0.377
Pm  0.959  0.918  0.639
Pm  0.290  0.579  0.623

Properties
- total energy (eV/atom) = -4.633
- D(E_F) (states/eV/f.u.) = 6.15



[14]
Pm5Y2In4 after structural relaxation. Source: Alexandria via LeMat-Bulk, functional GGA-PBE.

Cell lengths 3.445, 8.777, 10.733 Å; angles 84.25, 90.00, 90.00 degrees
Last column: magnetic moment on the atom in μB.
Fractional coordinates of all 11 atoms:
Pm  0.000  0.160  0.859  -0.01
In  0.500  0.757  0.424  0.00
In  0.500  0.800  0.878  0.00
In  0.500  0.200  0.122  0.00
Pm  0.000  0.537  0.665  0.09
Y  0.000  0.083  0.361  -0.01
Pm  0.000  0.840  0.141  -0.01
Pm  0.000  0.463  0.335  0.09
Pm  0.000  0.500  0.000  -0.01
Y  0.000  0.917  0.639  -0.01
In  0.500  0.243  0.576  0.00

Properties
- total energy (eV/atom) = -4.620
- D(E_F) (states/eV/f.u.) = 13.00



[15]
Pm6Y2In after structural relaxation. Source: Alexandria via LeMat-Bulk, functional GGA-PBE.

Cell lengths 6.305, 11.976, 11.210 Å; angles 46.31, 106.36, 105.28 degrees
Fractional coordinates of all 18 atoms:
Pm  0.230  0.635  0.471
Pm  0.461  0.028  0.190
Pm  0.757  0.528  0.690
Pm  0.124  0.865  0.029
Pm  0.243  0.472  0.310
Y  0.890  0.305  0.142
Y  0.557  0.805  0.642
Y  0.110  0.695  0.858
Pm  0.670  0.586  0.090
Y  0.443  0.195  0.358
In  0.671  0.750  0.250
Pm  0.876  0.135  0.971
Pm  0.770  0.365  0.529
In  0.329  0.250  0.750
Pm  0.330  0.414  0.910
Pm  0.006  0.086  0.590
Pm  0.994  0.914  0.410
Pm  0.539  0.972  0.810

Properties
- total energy (eV/atom) = -5.006
- D(E_F) (states/eV/f.u.) = 12.58



[16]
PmY2In9 after structural relaxation. Source: Alexandria via LeMat-Bulk, functional GGA-PBE.

Cell lengths 4.663, 4.663, 13.981 Å; angles 90.00, 90.00, 90.00 degrees
Fractional coordinates of all 12 atoms:
Y  0.000  0.000  0.334
In  0.000  0.500  0.500
In  0.500  0.500  0.000
In  0.500  0.000  0.169
Y  0.000  0.000  0.666
In  0.000  0.500  0.831
In  0.500  0.000  0.500
Pm  0.000  0.000  0.000
In  0.500  0.000  0.831
In  0.000  0.500  0.169
In  0.500  0.500  0.666
In  0.500  0.500  0.334

Properties
- total energy (eV/atom) = -3.967
- D(E_F) (states/eV/f.u.) = 4.50



[17]
Pm6Y8In after structural relaxation. Source: Alexandria via LeMat-Bulk, functional GGA-PBE.

Cell lengths 6.382, 9.511, 9.511 Å; angles 120.00, 90.00, 90.00 degrees
Fractional coordinates of all 15 atoms:
In  0.500  0.000  0.000
Pm  0.316  0.362  0.909
Y  0.827  0.333  0.667
Pm  0.316  0.547  0.638
Y  0.191  0.263  0.225
Pm  0.316  0.091  0.453
Pm  0.684  0.909  0.547
Y  0.191  0.775  0.038
Y  0.809  0.737  0.775
Pm  0.684  0.453  0.362
Y  0.809  0.225  0.962
Y  0.809  0.038  0.263
Y  0.191  0.962  0.737
Pm  0.684  0.638  0.091
Y  0.173  0.667  0.333

Properties
- total energy (eV/atom) = -5.468
- D(E_F) (states/eV/f.u.) = 19.01



[18]
Pm8YIn6 after structural relaxation. Source: Alexandria via LeMat-Bulk, functional GGA-PBE.

Cell lengths 9.193, 9.193, 8.478 Å; angles 57.17, 57.17, 60.00 degrees
Fractional coordinates of all 15 atoms:
In  0.616  0.945  0.165
In  0.727  0.384  0.835
Pm  0.114  0.450  0.655
Pm  0.335  0.335  0.996
Pm  0.665  0.665  0.004
In  0.945  0.273  0.165
In  0.384  0.055  0.835
Pm  0.550  0.220  0.345
Pm  0.886  0.550  0.345
Y  0.000  0.000  0.000
Pm  0.450  0.780  0.655
In  0.055  0.727  0.835
Pm  0.780  0.114  0.655
In  0.273  0.616  0.165
Pm  0.220  0.886  0.345

Properties
- total energy (eV/atom) = -4.305
- D(E_F) (states/eV/f.u.) = 22.59



[19]
PmY3In4 after structural relaxation. Source: Alexandria via LeMat-Bulk, functional GGA-PBE.

Cell lengths 3.487, 7.171, 10.165 Å; angles 110.65, 99.88, 90.00 degrees
Last column: magnetic moment on the atom in μB.
Fractional coordinates of all 8 atoms:
In  0.372  0.163  0.744  0.00
In  0.372  0.581  0.744  0.00
Y  0.781  0.782  0.563  -0.01
In  0.628  0.837  0.256  0.00
Pm  0.500  0.000  0.000  0.10
Y  0.219  0.218  0.437  -0.01
Y  0.000  0.500  0.000  0.00
In  0.628  0.419  0.256  0.00

Properties
- total energy (eV/atom) = -4.724
- D(E_F) (states/eV/f.u.) = 6.65



[20]
Pm2YIn3 after structural relaxation. Source: Alexandria via LeMat-Bulk, functional GGA-PBE.

Cell lengths 5.400, 5.400, 13.264 Å; angles 90.00, 90.00, 120.00 degrees
Fractional coordinates of all 12 atoms:
In  0.333  0.667  0.916
Pm  0.667  0.333  0.831
In  0.667  0.333  0.582
Y  0.333  0.667  0.667
In  0.667  0.333  0.084
In  0.333  0.667  0.418
Pm  0.333  0.667  0.169
Y  0.667  0.333  0.333
Pm  0.000  0.000  0.500
Pm  0.000  0.000  0.000
In  0.000  0.000  0.252
In  0.000  0.000  0.748

Properties
- total energy (eV/atom) = -4.525
- D(E_F) (states/eV/f.u.) = 3.73